{"formula": "YZnAu2", "functional": "GGA-PBE", "state": "optimized geometry", "lattice_angstrom": [[7.619, 0.000, 0.000], [0.000, 7.440, 0.000], [0.000, 0.000, 5.617]], "species": ["Y", "Y", "Y", "Y", "Zn", "Zn", "Zn", "Zn", "Au", "Au", "Au", "Au", "Au", "Au", "Au", "Au"], "frac_coords": [[0.039, 0.250, 0.142], [0.461, 0.750, 0.642], [0.539, 0.250, 0.358], [0.961, 0.750, 0.858], [0.111, 0.750, 0.366], [0.389, 0.250, 0.866], [0.611, 0.750, 0.134], [0.889, 0.250, 0.634], [0.189, 0.053, 0.589], [0.189, 0.447, 0.589], [0.311, 0.553, 0.089], [0.311, 0.947, 0.089], [0.689, 0.053, 0.911], [0.689, 0.447, 0.911], [0.811, 0.553, 0.411], [0.811, 0.947, 0.411]], "total_energy_ev_per_atom": -4.221, "e_form_kj_per_mol_atoms": -62.5, "sg": "No. 62", "total_magnetization_mub_per_atom": 0.000}